RePSeO2 (PBE, relaxed); formation energy without anion corrections = -0.648 eV per atom; energy above the most stable polymorph in this dataset = 0.0 meV per atom; energy = -6.900 eV per atom
1.0
3.7476 0.0000 0.0000
0.0000 3.7476 0.0000
0.0000 0.0000 5.3579
Re P Se O
1 1 1 2
direct
0.0000 0.0000 0.0000 Re
0.0000 0.0000 0.5000 P
0.5000 0.5000 0.5000 Se
0.0000 0.5000 0.0000 O
0.5000 0.0000 0.0000 O

***

ZrTlHg2 (PBE, relaxed); energy = -2.831 eV per atom
1.0
6.3071 -1.5620 0.0000
6.3071 1.5620 0.0000
-2.3753 0.0000 4.9962
Zr Tl Hg
1 1 2
direct
0.0000 0.0000 0.0000 Zr
0.5000 0.5000 0.5000 Tl
0.2729 0.2729 0.7728 Hg
0.7271 0.7271 0.2272 Hg

***

Rb12Se3I5 (PBE, relaxed); formation energy without anion corrections = -1.091 eV per atom; energy above the most stable polymorph in this dataset = 92.7 meV per atom; energy = -2.582 eV per atom
1.0
-10.4058 10.4058 10.4058
10.4058 -10.4058 10.4058
10.4058 10.4058 -10.4058
Rb Se I
48 12 20
direct
0.0669 0.2366 0.1393 Rb
0.0669 0.3303 0.9276 Rb
0.0724 0.6393 0.4027 Rb
0.0724 0.9331 0.6697 Rb
0.0973 0.7366 0.6697 Rb
0.0973 0.8607 0.4276 Rb
0.1393 0.0669 0.2366 Rb
0.1393 0.5724 0.9027 Rb
0.1697 0.2366 0.5973 Rb
0.1697 0.4331 0.5724 Rb
0.2366 0.1393 0.0669 Rb
0.2366 0.5973 0.1697 Rb
0.2634 0.3303 0.9027 Rb
0.2634 0.4331 0.3607 Rb
0.3303 0.9027 0.2634 Rb
0.3303 0.9276 0.0669 Rb
0.3607 0.2634 0.4331 Rb
0.3607 0.5973 0.9276 Rb
0.4027 0.0724 0.6393 Rb
0.4027 0.8303 0.7634 Rb
0.4276 0.0973 0.8607 Rb
0.4276 0.8303 0.5669 Rb
0.4331 0.3607 0.2634 Rb
0.4331 0.5724 0.1697 Rb
0.5669 0.4276 0.8303 Rb
0.5669 0.6393 0.7366 Rb
0.5724 0.1697 0.4331 Rb
0.5724 0.9027 0.1393 Rb
0.5973 0.1697 0.2366 Rb
0.5973 0.9276 0.3607 Rb
0.6393 0.4027 0.0724 Rb
0.6393 0.7366 0.5669 Rb
0.6697 0.0724 0.9331 Rb
0.6697 0.0973 0.7366 Rb
0.7366 0.5669 0.6393 Rb
0.7366 0.6697 0.0973 Rb
0.7634 0.4027 0.8303 Rb
0.7634 0.8607 0.9331 Rb
0.8303 0.5669 0.4276 Rb
0.8303 0.7634 0.4027 Rb
0.8607 0.4276 0.0973 Rb
0.8607 0.9331 0.7634 Rb
0.9027 0.1393 0.5724 Rb
0.9027 0.2634 0.3303 Rb
0.9276 0.0669 0.3303 Rb
0.9276 0.3607 0.5973 Rb
0.9331 0.6697 0.0724 Rb
0.9331 0.7634 0.8607 Rb
0.1250 0.2500 0.3750 Se
0.1250 0.3750 0.7500 Se
0.2500 0.3750 0.1250 Se
0.2500 0.8750 0.6250 Se
0.3750 0.1250 0.2500 Se
0.3750 0.7500 0.1250 Se
0.6250 0.2500 0.8750 Se
0.6250 0.8750 0.7500 Se
0.7500 0.1250 0.3750 Se
0.7500 0.6250 0.8750 Se
0.8750 0.6250 0.2500 Se
0.8750 0.7500 0.6250 Se
0.0000 0.0000 0.0000 I
0.0000 0.0000 0.5000 I
0.0000 0.5000 0.0000 I
0.0000 0.5000 0.5000 I
0.1250 0.7500 0.8750 I
0.1250 0.8750 0.2500 I
0.2500 0.1250 0.8750 I
0.2500 0.6250 0.3750 I
0.3750 0.2500 0.6250 I
0.3750 0.6250 0.7500 I
0.5000 0.0000 0.0000 I
0.5000 0.0000 0.5000 I
0.5000 0.5000 0.0000 I
0.5000 0.5000 0.5000 I
0.6250 0.3750 0.2500 I
0.6250 0.7500 0.3750 I
0.7500 0.3750 0.6250 I
0.7500 0.8750 0.1250 I
0.8750 0.1250 0.7500 I
0.8750 0.2500 0.1250 I

***

KLiO2 (PBE, relaxed); formation energy without anion corrections = -0.554 eV per atom; energy = -3.786 eV per atom
1.0
0.0000 3.0357 3.0357
3.0357 0.0000 3.0357
3.0357 3.0357 0.0000
K Li O
1 1 2
direct
0.0000 0.0000 0.0000 K
0.5000 0.5000 0.5000 Li
0.2500 0.2500 0.2500 O
0.7500 0.7500 0.7500 O

***

TaRhAu2 (PBE, relaxed); energy above the most stable polymorph in this dataset = 140.2 meV per atom; energy = -6.525 eV per atom
1.0
1.4589 0.8423 9.3330
-1.4589 0.8423 9.3330
0.0000 -1.6846 9.3330
Ta Rh Au
1 1 2
direct
0.0000 0.0000 0.0000 Ta
0.7412 0.7412 0.7412 Rh
0.2484 0.2484 0.2484 Au
0.4934 0.4934 0.4934 Au

***

InIr2Br (PBE, relaxed); formation energy without anion corrections = 0.506 eV per atom; energy above the most stable polymorph in this dataset = 214.6 meV per atom; energy = -5.027 eV per atom
1.0
3.2460 0.0000 0.0000
0.0000 3.2460 0.0000
0.0000 0.0000 7.5615
In Ir Br
1 2 1
direct
0.0000 0.0000 0.0000 In
0.0000 0.0000 0.3994 Ir
0.5000 0.5000 0.2324 Ir
0.5000 0.5000 0.6704 Br

***

Ac3Zn2In7 (PBE, relaxed); energy = -3.207 eV per atom
1.0
4.7814 0.0000 0.0000
0.0000 4.7752 0.0000
-2.3425 0.0000 14.8559
Ac Zn In
3 2 7
direct
0.0000 0.0000 0.0000 Ac
0.3167 0.5000 0.6341 Ac
0.6833 0.5000 0.3659 Ac
0.1331 0.0000 0.2709 Zn
0.8669 0.0000 0.7291 Zn
0.0862 0.5000 0.1715 In
0.2248 0.0000 0.4486 In
0.4153 0.0000 0.8289 In
0.5000 0.5000 0.0000 In
0.5847 0.0000 0.1711 In
0.7752 0.0000 0.5514 In
0.9138 0.5000 0.8285 In

***

Sr3Pr3NdS8 (PBE, relaxed); formation energy without anion corrections = -2.058 eV per atom; energy = -5.870 eV per atom
1.0
4.1437 2.3924 6.9394
-4.1437 2.3924 6.9394
0.0000 -4.7848 6.9394
Sr Pr Nd S
3 3 1 8
direct
0.0000 0.5000 0.5000 Sr
0.5000 0.0000 0.5000 Sr
0.5000 0.5000 0.0000 Sr
0.0000 0.0000 0.5000 Pr
0.0000 0.5000 0.0000 Pr
0.5000 0.0000 0.0000 Pr
0.5000 0.5000 0.5000 Nd
0.2473 0.2473 0.2473 S
0.2497 0.7417 0.7417 S
0.2583 0.2583 0.7503 S
0.2583 0.7503 0.2583 S
0.7417 0.2497 0.7417 S
0.7417 0.7417 0.2497 S
0.7503 0.2583 0.2583 S
0.7527 0.7527 0.7527 S

***

HoScCdRu (PBE, relaxed); energy above the most stable polymorph in this dataset = 0.0 meV per atom; energy = -5.735 eV per atom
1.0
3.3634 0.0000 0.0000
0.0000 3.3634 0.0000
0.0000 0.0000 7.4266
Ho Sc Cd Ru
1 1 1 1
direct
0.0000 0.0000 0.0000 Ho
0.0000 0.0000 0.5713 Sc
0.5000 0.5000 0.3065 Cd
0.5000 0.5000 0.7683 Ru

***

AsINF2 (PBE, relaxed); formation energy without anion corrections = -0.136 eV per atom; energy above the most stable polymorph in this dataset = 0.0 meV per atom; energy = -3.789 eV per atom
1.0
4.0133 0.0000 0.0000
0.0000 4.0133 0.0000
0.0000 0.0000 4.9751
As I N F
1 1 1 2
direct
0.0000 0.0000 0.0000 As
0.5000 0.5000 0.5000 I
0.0000 0.0000 0.5000 N
0.0000 0.5000 0.0000 F
0.5000 0.0000 0.0000 F

***

Na3CoC (PBE, relaxed); energy above the most stable polymorph in this dataset = 0.0 meV per atom; energy = -2.670 eV per atom
1.0
4.9229 0.0000 0.0000
0.0000 4.9229 0.0000
0.0000 0.0000 4.9229
Na Co C
3 1 1
direct
0.0000 0.0000 0.5000 Na
0.0000 0.5000 0.0000 Na
0.5000 0.0000 0.0000 Na
0.5000 0.5000 0.5000 Co
0.0000 0.0000 0.0000 C

***

LiPaPt2 (PBE, relaxed); energy above the most stable polymorph in this dataset = 132.4 meV per atom; energy = -6.624 eV per atom
1.0
4.6291 0.0000 0.0000
0.0000 4.6291 0.0000
0.0000 0.0000 3.4772
Li Pa Pt
1 1 2
direct
0.0000 0.0000 0.0000 Li
0.5000 0.5000 0.0000 Pa
0.0000 0.5000 0.5000 Pt
0.5000 0.0000 0.5000 Pt

***

BaCo3Br9 (PBE, relaxed); formation energy without anion corrections = -0.698 eV per atom; energy = -3.644 eV per atom
1.0
9.6007 -4.9734 0.0000
9.6007 4.9734 0.0000
-9.2950 0.0000 10.3891
Ba Co Br
2 6 18
direct
0.0672 0.9328 0.5000 Ba
0.9328 0.0672 0.0000 Ba
0.1457 0.4828 0.7256 Co
0.3612 0.6054 0.2877 Co
0.4828 0.1457 0.2256 Co
0.5339 0.8204 0.8813 Co
0.6054 0.3612 0.7877 Co
0.8204 0.5339 0.3813 Co
0.0890 0.7867 0.2214 Br
0.1558 0.2648 0.7311 Br
0.1941 0.6929 0.9314 Br
0.2484 0.8869 0.7762 Br
0.2648 0.1558 0.2311 Br
0.3280 0.3911 0.6340 Br
0.3911 0.3280 0.1340 Br
0.4210 0.6473 0.4936 Br
0.5333 0.6857 0.2954 Br
0.6096 0.8728 0.0978 Br
0.6223 0.9586 0.8650 Br
0.6473 0.4210 0.9936 Br
0.6857 0.5333 0.7954 Br
0.6929 0.1941 0.4314 Br
0.7867 0.0890 0.7214 Br
0.8728 0.6096 0.5978 Br
0.8869 0.2484 0.2762 Br
0.9586 0.6223 0.3650 Br

***

DyY4Sc5 (PBE, relaxed); energy above the most stable polymorph in this dataset = 0.0 meV per atom; energy = -6.120 eV per atom
1.0
8.1433 -1.6910 0.0000
8.1433 1.6910 0.0000
-3.5401 0.0000 10.2577
Dy Y Sc
1 4 5
direct
0.0000 0.0000 0.0000 Dy
0.1090 0.1090 0.7932 Y
0.4091 0.4091 0.6966 Y
0.5909 0.5909 0.3034 Y
0.8910 0.8910 0.2068 Y
0.0000 0.0000 0.5000 Sc
0.2871 0.2871 0.3814 Sc
0.3076 0.3076 0.9197 Sc
0.6924 0.6924 0.0803 Sc
0.7129 0.7129 0.6186 Sc

***

SrSe2Cl (PBE, relaxed); formation energy without anion corrections = -1.249 eV per atom; energy above the most stable polymorph in this dataset = 35.5 meV per atom; energy = -3.873 eV per atom
1.0
4.3330 -2.1224 0.0000
4.3330 2.1224 0.0000
-1.7358 0.0000 6.9762
Sr Se Cl
1 2 1
direct
0.0000 0.0000 0.0000 Sr
0.4823 0.4823 0.3555 Se
0.7333 0.7333 0.2801 Se
0.2813 0.2813 0.8196 Cl

***

Tl12Hg5I3 (PBE, relaxed); formation energy without anion corrections = 0.035 eV per atom; energy = -1.693 eV per atom
1.0
-9.4498 9.4498 9.4498
9.4498 -9.4498 9.4498
9.4498 9.4498 -9.4498
Tl Hg I
48 20 12
direct
0.0554 0.2200 0.1398 Tl
0.0554 0.3355 0.9156 Tl
0.0801 0.7200 0.6645 Tl
0.0801 0.8602 0.4156 Tl
0.0844 0.6398 0.4199 Tl
0.0844 0.9446 0.6645 Tl
0.1398 0.0554 0.2200 Tl
0.1398 0.5844 0.9199 Tl
0.1645 0.2200 0.5801 Tl
0.1645 0.4446 0.5844 Tl
0.2200 0.1398 0.0554 Tl
0.2200 0.5801 0.1645 Tl
0.2800 0.3355 0.9199 Tl
0.2800 0.4446 0.3602 Tl
0.3355 0.9156 0.0554 Tl
0.3355 0.9199 0.2800 Tl
0.3602 0.2800 0.4446 Tl
0.3602 0.5801 0.9156 Tl
0.4156 0.0801 0.8602 Tl
0.4156 0.8355 0.5554 Tl
0.4199 0.0844 0.6398 Tl
0.4199 0.8355 0.7800 Tl
0.4446 0.3602 0.2800 Tl
0.4446 0.5844 0.1645 Tl
0.5554 0.4156 0.8355 Tl
0.5554 0.6398 0.7200 Tl
0.5801 0.1645 0.2200 Tl
0.5801 0.9156 0.3602 Tl
0.5844 0.1645 0.4446 Tl
0.5844 0.9199 0.1398 Tl
0.6398 0.4199 0.0844 Tl
0.6398 0.7200 0.5554 Tl
0.6645 0.0801 0.7200 Tl
0.6645 0.0844 0.9446 Tl
0.7200 0.5554 0.6398 Tl
0.7200 0.6645 0.0801 Tl
0.7800 0.4199 0.8355 Tl
0.7800 0.8602 0.9446 Tl
0.8355 0.5554 0.4156 Tl
0.8355 0.7800 0.4199 Tl
0.8602 0.4156 0.0801 Tl
0.8602 0.9446 0.7800 Tl
0.9156 0.0554 0.3355 Tl
0.9156 0.3602 0.5801 Tl
0.9199 0.1398 0.5844 Tl
0.9199 0.2800 0.3355 Tl
0.9446 0.6645 0.0844 Tl
0.9446 0.7800 0.8602 Tl
0.0000 0.0000 0.0000 Hg
0.0000 0.0000 0.5000 Hg
0.0000 0.5000 0.0000 Hg
0.0000 0.5000 0.5000 Hg
0.1250 0.7500 0.8750 Hg
0.1250 0.8750 0.2500 Hg
0.2500 0.1250 0.8750 Hg
0.2500 0.6250 0.3750 Hg
0.3750 0.2500 0.6250 Hg
0.3750 0.6250 0.7500 Hg
0.5000 0.0000 0.0000 Hg
0.5000 0.0000 0.5000 Hg
0.5000 0.5000 0.0000 Hg
0.5000 0.5000 0.5000 Hg
0.6250 0.3750 0.2500 Hg
0.6250 0.7500 0.3750 Hg
0.7500 0.3750 0.6250 Hg
0.7500 0.8750 0.1250 Hg
0.8750 0.1250 0.7500 Hg
0.8750 0.2500 0.1250 Hg
0.1250 0.2500 0.3750 I
0.1250 0.3750 0.7500 I
0.2500 0.3750 0.1250 I
0.2500 0.8750 0.6250 I
0.3750 0.1250 0.2500 I
0.3750 0.7500 0.1250 I
0.6250 0.2500 0.8750 I
0.6250 0.8750 0.7500 I
0.7500 0.1250 0.3750 I
0.7500 0.6250 0.8750 I
0.8750 0.6250 0.2500 I
0.8750 0.7500 0.6250 I

***

Mg2ZrAl (PBE, relaxed); energy = -3.988 eV per atom
1.0
3.1557 0.0000 0.0000
0.0000 3.1557 0.0000
0.0000 0.0000 8.3421
Mg Zr Al
2 1 1
direct
0.0000 0.0000 0.0000 Mg
0.5000 0.5000 0.2671 Mg
0.0000 0.0000 0.5423 Zr
0.5000 0.5000 0.7684 Al

***

Ti2TlCd2 (PBE, relaxed); energy above the most stable polymorph in this dataset = 28.8 meV per atom; energy = -3.729 eV per atom
1.0
7.9388 0.0000 0.0000
0.0000 7.9388 0.0000
0.0000 0.0000 3.2693
Ti Tl Cd
4 2 4
direct
0.1740 0.3260 0.0000 Ti
0.3260 0.8260 0.0000 Ti
0.6740 0.1740 0.0000 Ti
0.8260 0.6740 0.0000 Ti
0.0000 0.0000 0.5000 Tl
0.5000 0.5000 0.5000 Tl
0.1245 0.6245 0.5000 Cd
0.3755 0.1245 0.5000 Cd
0.6245 0.8755 0.5000 Cd
0.8755 0.3755 0.5000 Cd